# Ba3AcNb2O9

A geometry-optimized Ba3AcNb2O9 structure (GGA-PBE, Alexandria).

Unit cell a=6.0502 b=6.0502 c=7.9454 alpha=90.00 beta=90.00 gamma=120.00
Space group P-3m1 (No. 164)
Unique sites:
Ba: 0.0000 0.0000 0.0000 x1
Ba: 0.3333 0.6667 0.7227 x2
Ac: 0.0000 0.0000 0.5000 x1
Nb: 0.3333 0.6667 0.1604 x2
O: 0.0000 0.5000 0.0000 x3
O: 0.1752 0.3504 0.2951 x6

Output
ΔE_f (raw)   -2830 meV/atom
Crystal system   trigonal
Magnetization   0.000 μB/atom
VASP energy   -7.806 eV/atom

***

# BaAc2NbO6

A geometry-optimized BaAc2NbO6 structure (GGA-PBE, Alexandria).

Unit cell a=5.769 b=5.769 c=5.922 alpha=90.00 beta=90.00 gamma=90.00
Space group P4mm (No. 99)
Unique sites:
Ba: 0.000 0.000 0.000 x1
Ac: 0.000 0.500 0.458 x2
Nb: 0.500 0.500 0.078 x1
O: 0.000 0.000 0.574 x1
O: 0.275 0.275 0.224 x4
O: 0.500 0.500 0.757 x1

Output
ΔE_f (raw)   -2796 meV/atom
Crystal system   tetragonal
Magnetization   0.086 μB/atom
VASP energy   -7.791 eV/atom

***

# BaAcNbO5

A geometry-optimized BaAcNbO5 structure (GGA-PBE, Alexandria).

Unit cell a=7.828 b=10.686 c=8.427 alpha=90.00 beta=111.09 gamma=90.00
Space group C2/c (No. 15)
Unique sites:
Ba: 0.000 0.171 0.250 x4
Ac: 0.000 0.500 0.000 x4
Nb: 0.000 0.179 0.750 x4
O: 0.000 0.401 0.250 x4
O: 0.118 0.284 0.639 x8
O: 0.161 0.072 0.910 x8

Output
ΔE_f (raw)   -2935 meV/atom
Crystal system   monoclinic
Magnetization   0.000 μB/atom
VASP energy   -8.046 eV/atom

***

# Ba4AcNb3O12

A geometry-optimized Ba4AcNb3O12 structure (GGA-PBE, Alexandria).

Unit cell a=8.626 b=8.626 c=8.626 alpha=90.00 beta=90.00 gamma=90.00
Space group Im-3m (No. 229)
Unique sites:
Ba: 0.250 0.250 0.250 x8
Ac: 0.000 0.000 0.000 x2
Nb: 0.000 0.000 0.500 x6
O: 0.000 0.000 0.273 x12
O: 0.000 0.250 0.500 x12

Output
ΔE_f (raw)   -2740 meV/atom
Crystal system   cubic
Magnetization   0.047 μB/atom
VASP energy   -7.815 eV/atom

***

# BaAc2Nd

A geometry-optimized BaAc2Nd structure (GGA-PBE, Alexandria).

Unit cell a=3.9938 b=3.9938 c=39.3544 alpha=90.00 beta=90.00 gamma=120.00
Space group R3m (No. 160, hexagonal axes)
Unique sites:
Ba: 0.0000 0.0000 0.0000 x3
Ac: 0.0000 0.0000 0.4243 x3
Ac: 0.0000 0.0000 0.5771 x3
Nd: 0.0000 0.0000 0.1672 x3

Output
Crystal system   trigonal
E_form   0.071 eV/atom
Magnetization   0.000 μB/atom
VASP energy   -3.655 eV/atom

***

# BaAc2Nd

A geometry-optimized BaAc2Nd structure (GGA-PBE, Alexandria).

Unit cell a=8.977 b=8.977 c=8.977 alpha=90.00 beta=90.00 gamma=90.00
Space group Fm-3m (No. 225)
Unique sites:
Ba: 0.000 0.000 0.000 x4
Ac: 0.250 0.250 0.250 x8
Nd: 0.000 0.000 0.500 x4

Output
Crystal system   cubic
E_form   0.199 eV/atom
Magnetization   0.349 μB/atom
VASP energy   -3.528 eV/atom

***

# BaAc2Nd

A geometry-optimized BaAc2Nd structure (GGA-PBE, Alexandria).

Unit cell a=3.983 b=3.983 c=11.439 alpha=90.00 beta=90.00 gamma=90.00
Space group P4/mmm (No. 123)
Unique sites:
Ba: 0.000 0.000 0.000 x1
Ac: 0.500 0.500 0.279 x2
Nd: 0.000 0.000 0.500 x1

Output
Crystal system   tetragonal
E_form   0.057 eV/atom
Magnetization   0.000 μB/atom
VASP energy   -3.670 eV/atom

***

# BaAc6Nd2

A geometry-optimized BaAc6Nd2 structure (GGA-PBE, Alexandria).

Unit cell a=6.6575 b=6.6575 c=12.7264 alpha=90.00 beta=90.00 gamma=120.00
Space group P-31m (No. 162)
Unique sites:
Ba: 0.0000 0.0000 0.0000 x1
Ac: 0.0000 0.3312 0.2733 x6
Nd: 0.3333 0.6667 0.5000 x2

Output
Crystal system   trigonal
E_form   0.456 eV/atom
Magnetization   0.000 μB/atom
VASP energy   -3.556 eV/atom

***

# BaAc4Nd

A geometry-optimized BaAc4Nd structure (GGA-PBE, Alexandria).

Unit cell a=3.996 b=3.996 c=17.028 alpha=90.00 beta=90.00 gamma=90.00
Space group P4/mmm (No. 123)
Unique sites:
Ba: 0.000 0.000 0.000 x1
Ac: 0.000 0.000 0.349 x2
Ac: 0.500 0.500 0.189 x2
Nd: 0.500 0.500 0.500 x1

Output
Crystal system   tetragonal
E_form   0.047 eV/atom
Magnetization   0.000 μB/atom
VASP energy   -3.807 eV/atom

***

# Ba2Ac15Nd2

A geometry-optimized Ba2Ac15Nd2 structure (GGA-PBE, Alexandria).

Unit cell a=12.8491 b=12.8491 c=19.2143 alpha=90.00 beta=90.00 gamma=120.00
Space group R-3m (No. 166, hexagonal axes)
Unique sites:
Ba: 0.0000 0.0000 0.1646 x6
Ac: 0.0000 0.2923 0.5000 x18
Ac: 0.0000 0.5000 0.0000 x9
Ac: 0.0006 0.5003 0.6463 x18
Nd: 0.0000 0.0000 0.4093 x6

Output
Crystal system   trigonal
E_form   0.219 eV/atom
Magnetization   0.001 μB/atom
VASP energy   -3.729 eV/atom

***

# BaAc4Nd

A geometry-optimized BaAc4Nd structure (GGA-PBE, Alexandria).

Unit cell a=10.468 b=10.468 c=10.468 alpha=90.00 beta=90.00 gamma=90.00
Space group F-43m (No. 216)
Unique sites:
Ba: 0.000 0.000 0.000 x4
Ac: 0.123 0.123 0.377 x16
Nd: 0.250 0.250 0.750 x4

Output
Crystal system   cubic
E_form   0.269 eV/atom
Magnetization   0.000 μB/atom
VASP energy   -3.585 eV/atom

***

# BaAc15Nd4

A geometry-optimized BaAc15Nd4 structure (GGA-PBE, Alexandria).

Unit cell a=5.586 b=5.586 c=27.907 alpha=90.00 beta=90.00 gamma=90.00
Space group P4/mmm (No. 123)
Unique sites:
Ba: 0.000 0.000 0.000 x1
Ac: 0.000 0.500 0.107 x4
Ac: 0.000 0.500 0.303 x4
Ac: 0.000 0.500 0.500 x2
Ac: 0.500 0.500 0.000 x1
Ac: 0.500 0.500 0.205 x2
Ac: 0.500 0.500 0.401 x2
Nd: 0.000 0.000 0.204 x2
Nd: 0.000 0.000 0.402 x2

Output
Crystal system   tetragonal
E_form   0.039 eV/atom
Magnetization   0.000 μB/atom
VASP energy   -4.092 eV/atom